1.
Computed, not measured: MgGa2Fe2 after structural relaxation at the PBE level of DFT.

Cell: 7.0211 7.0211 2.8532 Å, 90.00 90.00 90.00°
Last column: nearest neighbours and their distance in Å.
Element x y z (fractional)
Mg 0.0000 0.0000 0.0000  4 Ga 2.73, 2 Mg 2.85, 8 Fe 3.00
Mg 0.5000 0.5000 0.0000  4 Ga 2.73, 2 Mg 2.85, 8 Fe 3.00
Ga 0.1352 0.3648 0.0000  6 Fe 2.48-2.53, 1 Ga 2.69, 2 Mg 2.73
Ga 0.3648 0.8648 0.0000  6 Fe 2.48-2.53, 1 Ga 2.69, 2 Mg 2.73
Ga 0.6352 0.1352 0.0000  6 Fe 2.48-2.53, 1 Ga 2.69, 2 Mg 2.73
Ga 0.8648 0.6352 0.0000  6 Fe 2.48-2.53, 1 Ga 2.69, 2 Mg 2.73
Fe 0.1607 0.6607 0.5000  6 Ga 2.48-2.53
Fe 0.3393 0.1607 0.5000  6 Ga 2.48-2.53
Fe 0.6607 0.8393 0.5000  6 Ga 2.48-2.53
Fe 0.8393 0.3393 0.5000  6 Ga 2.48-2.53

Summary:
The energy relative to the elements comes out at -0.1 eV/f.u. Its distance to the lowest polymorph of the same formula is 0.011 eV per atom. The calculation puts the density of states at the Fermi level at 1.1194 states/eV per atom. Its spin magnetization is 2.9 μB/f.u. As for the crystal system: tetragonal. The space-group type is P4/mbm (127).



2.
Computed, not measured: MgGaFe3 after structural relaxation at the PBE level of DFT.

Cell: 4.5073 4.5073 4.5073 Å, 90.00 90.00 90.00°
Last column: nearest neighbours and their distance in Å.
Element x y z (fractional)
Mg 0.0000 0.0000 0.0000  12 Fe 3.19
Ga 0.5000 0.5000 0.5000  6 Fe 2.25
Fe 0.0000 0.5000 0.5000  2 Ga 2.25
Fe 0.5000 0.0000 0.5000  2 Ga 2.25
Fe 0.5000 0.5000 0.0000  2 Ga 2.25

Summary:
The energy relative to the elements comes out at 4.1 eV/f.u. Its distance to the lowest polymorph of the same formula is 0.000 eV per atom. The calculation puts the density of states at the Fermi level at 1.6085 states/eV per atom. Its spin magnetization is 7.5 μB/f.u. As for the crystal system: cubic. The space-group type is Pm-3m (221).



3.
Computed, not measured: MgGaFe after structural relaxation at the PBE level of DFT.

Cell: 5.2038 5.2038 5.2038 Å, 145.22 145.22 50.01°
Last column: nearest neighbours and their distance in Å.
Element x y z (fractional)
Mg 0.0000 0.0000 0.0000  5 Fe 2.76-3.06, 5 Ga 2.81-2.91
Ga 0.7021 0.7021 0.0000  4 Fe 2.48
Fe 0.3240 0.3240 0.0000  4 Ga 2.48, 4 Mg 2.76

Summary:
The energy relative to the elements comes out at 0.1 eV/f.u. The calculation puts the density of states at the Fermi level at 1.0881 states/eV per atom. Its spin magnetization is 1.7 μB/f.u. As for the crystal system: tetragonal. The space-group type is I4mm (107).



4.
Computed, not measured: MgGaFe3 after structural relaxation at the PBE level of DFT.

Cell: 4.4429 4.4429 4.4429 Å, 90.00 90.00 90.00°
Last column: nearest neighbours and their distance in Å.
Element x y z (fractional)
Mg 0.0000 0.0000 0.0000  6 Fe 2.22
Ga 0.5000 0.5000 0.5000  12 Fe 3.14
Fe 0.0000 0.0000 0.5000  2 Mg 2.22
Fe 0.0000 0.5000 0.0000  2 Mg 2.22
Fe 0.5000 0.0000 0.0000  2 Mg 2.22

Summary:
The energy relative to the elements comes out at 7.1 eV/f.u. Its distance to the lowest polymorph of the same formula is 0.598 eV per atom. The calculation puts the density of states at the Fermi level at 1.8786 states/eV per atom. Its spin magnetization is 7.8 μB/f.u. As for the crystal system: cubic. The space-group type is Pm-3m (221).



5.
Computed, not measured: MgGaFe after structural relaxation at the PBE level of DFT.

Cell: 3.7903 3.7903 6.6994 Å, 90.00 90.00 90.00°
Last column: nearest neighbours and their distance in Å.
Element x y z (fractional)
Mg 0.2500 0.2500 0.1633  5 Ga 2.75-2.82, 4 Fe 2.95
Mg 0.7500 0.7500 0.8367  5 Ga 2.75-2.82, 4 Fe 2.95
Ga 0.2500 0.2500 0.7425  4 Fe 2.50, 4 Mg 2.75
Ga 0.7500 0.7500 0.2575  4 Fe 2.50, 4 Mg 2.75
Fe 0.2500 0.7500 0.5000  4 Ga 2.50, 4 Fe 2.68
Fe 0.7500 0.2500 0.5000  4 Ga 2.50, 4 Fe 2.68

Summary:
The energy relative to the elements comes out at -0.3 eV/f.u. The calculation puts the density of states at the Fermi level at 0.5461 states/eV per atom. Its spin magnetization is 1.8 μB/f.u. As for the crystal system: tetragonal. The space-group type is P4/nmm (129).



6.
Computed, not measured: MgGa2Fe2 after structural relaxation at the PBE level of DFT.

Cell: 7.1918 7.1918 2.7724 Å, 90.00 90.00 90.00°
Last column: nearest neighbours and their distance in Å.
Element x y z (fractional)
Mg 0.0000 0.0000 0.0000  2 Mg 2.77, 4 Fe 2.88, 8 Ga 2.99
Mg 0.5000 0.5000 0.0000  2 Mg 2.77, 4 Fe 2.88, 8 Ga 2.99
Ga 0.1769 0.3231 0.5000  6 Fe 2.51-2.56, 2 Ga 2.77
Ga 0.3231 0.8231 0.5000  6 Fe 2.51-2.56, 2 Ga 2.77
Ga 0.6769 0.1769 0.5000  6 Fe 2.51-2.56, 2 Ga 2.77
Ga 0.8231 0.6769 0.5000  6 Fe 2.51-2.56, 2 Ga 2.77
Fe 0.1170 0.6170 0.0000  1 Fe 2.38, 6 Ga 2.51-2.56
Fe 0.3830 0.1170 0.0000  1 Fe 2.38, 6 Ga 2.51-2.56
Fe 0.6170 0.8830 0.0000  1 Fe 2.38, 6 Ga 2.51-2.56
Fe 0.8830 0.3830 0.0000  1 Fe 2.38, 6 Ga 2.51-2.56

Summary:
The energy relative to the elements comes out at -0.2 eV/f.u. Its distance to the lowest polymorph of the same formula is 0.000 eV per atom. The calculation puts the density of states at the Fermi level at 0.7977 states/eV per atom. Its spin magnetization is 3.5 μB/f.u. As for the crystal system: tetragonal. The space-group type is P4/mbm (127).



7.
Computed, not measured: MgGa12Fe6 after structural relaxation at the PBE level of DFT.

Cell: 7.1237 7.1237 7.1237 Å, 109.47 109.47 109.47°
Last column: nearest neighbours and their distance in Å.
Element x y z (fractional)
Mg 0.0000 0.0000 0.0000  12 Ga 2.73
Ga 0.0871 0.2740 0.8131  1 Fe 2.34
Ga 0.1869 0.4609 0.2740  1 Fe 2.34
Ga 0.1869 0.9129 0.7260  1 Fe 2.34
Ga 0.2740 0.1869 0.4609  1 Fe 2.34
Ga 0.2740 0.8131 0.0871  1 Fe 2.34
Ga 0.4609 0.2740 0.1869  1 Fe 2.34
Ga 0.5391 0.7260 0.8131  1 Fe 2.34
Ga 0.7260 0.1869 0.9129  1 Fe 2.34
Ga 0.7260 0.8131 0.5391  1 Fe 2.34
Ga 0.8131 0.0871 0.2740  1 Fe 2.34
Ga 0.8131 0.5391 0.7260  1 Fe 2.34
Ga 0.9129 0.7260 0.1869  1 Fe 2.34
Fe 0.1394 0.5000 0.6394  1 Fe 2.29, 2 Ga 2.34
Fe 0.3606 0.8606 0.5000  1 Fe 2.29, 2 Ga 2.34
Fe 0.5000 0.3606 0.8606  1 Fe 2.29, 2 Ga 2.34
Fe 0.5000 0.6394 0.1394  1 Fe 2.29, 2 Ga 2.34
Fe 0.6394 0.1394 0.5000  1 Fe 2.29, 2 Ga 2.34
Fe 0.8606 0.5000 0.3606  1 Fe 2.29, 2 Ga 2.34

Summary:
The energy relative to the elements comes out at 0.2 eV/f.u. The calculation puts the density of states at the Fermi level at 0.6822 states/eV per atom. Its spin magnetization is 8.0 μB/f.u. As for the crystal system: cubic. The space-group type is Im-3 (204).



8.
Computed, not measured: NaMgGa2Fe after structural relaxation at the PBE level of DFT.

Cell: 4.6176 4.6176 4.8465 Å, 90.00 90.00 90.00°
Last column: nearest neighbours and their distance in Å.
Element x y z (fractional)
Na 0.0000 0.0000 0.0000  4 Mg 3.27, 8 Ga 3.35
Mg 0.5000 0.5000 0.0000  2 Fe 2.42
Ga 0.0000 0.5000 0.5000  2 Fe 2.31
Ga 0.5000 0.0000 0.5000  2 Fe 2.31
Fe 0.5000 0.5000 0.5000  4 Ga 2.31, 2 Mg 2.42

Summary:
The energy relative to the elements comes out at 0.0 eV/f.u. The calculation puts the density of states at the Fermi level at 0.3741 states/eV per atom. Its spin magnetization is 0.0 μB/f.u. As for the crystal system: tetragonal. The space-group type is P4/mmm (123).



Question: Which of these has the lowest energy relative to the elements?
Answer: number 5